1.
# PBE VCdMoOs2, relaxed
data_VCdMoOs2
_cell_length_a 4.654
_cell_length_b 4.654
_cell_length_c 5.049
_cell_angle_alpha 90.00
_cell_angle_beta 90.00
_cell_angle_gamma 90.00
_space_group_name_H-M_alt 'P 4/m m m'
_space_group_IT_number 123
_space_group_name_Hall '-P 4 2'
loop_
_atom_site_label
_atom_site_type_symbol
_atom_site_fract_x
_atom_site_fract_y
_atom_site_fract_z
V1 V 0.000 0.000 0.000
Cd1 Cd 0.500 0.500 0.000
Mo1 Mo 0.500 0.500 0.500
Os1 Os 0.000 0.500 0.500
# E_tot, eV per atom: -6.56
# DFT formation energy, eV per atom: 2.101
# DOS at the Fermi energy, states/eV/f.u.: 10.68

2.
# PBE BaSm2Cu, relaxed
data_BaSm2Cu
_cell_length_a 3.8697
_cell_length_b 3.8697
_cell_length_c 33.0707
_cell_angle_alpha 90.00
_cell_angle_beta 90.00
_cell_angle_gamma 120.00
_space_group_name_H-M_alt 'R -3 m'
_space_group_IT_number 166
_space_group_name_Hall '-R 3 2"'
loop_
_atom_site_label
_atom_site_type_symbol
_atom_site_fract_x
_atom_site_fract_y
_atom_site_fract_z
Ba1 Ba 0.0000 0.0000 0.0000
Sm1 Sm 0.0000 0.0000 0.1124
Cu1 Cu 0.0000 0.0000 0.5000
# E_tot, eV per atom: -3.64
# DFT formation energy, eV per atom: 0.223
# DOS at the Fermi energy, states/eV/f.u.: 7.27
# Energy relative to the lowest polymorph listed for this composition, eV per atom: 0.179

3.
# PBE KAsH2O4, relaxed
data_KAsH2O4
_cell_length_a 4.175
_cell_length_b 6.674
_cell_length_c 7.301
_cell_angle_alpha 90.00
_cell_angle_beta 90.00
_cell_angle_gamma 90.00
_space_group_name_H-M_alt 'I 2 2 2'
_space_group_IT_number 23
_space_group_name_Hall 'I 2 2'
loop_
_atom_site_label
_atom_site_type_symbol
_atom_site_fract_x
_atom_site_fract_y
_atom_site_fract_z
K1 K 0.000 0.000 0.000
As1 As 0.000 0.000 0.500
H1 H 0.000 0.500 0.147
O1 O 0.233 0.381 0.853
# E_tot, eV per atom: -5.28
# DOS at the Fermi energy, states/eV/f.u.: 0.00
# Energy relative to the lowest polymorph listed for this composition, eV per atom: 0.131

4.
# PBE AcHoPd, relaxed
data_AcHoPd
_cell_length_a 4.7303
_cell_length_b 4.7303
_cell_length_c 4.7719
_cell_angle_alpha 90.00
_cell_angle_beta 90.00
_cell_angle_gamma 120.00
_space_group_name_H-M_alt 'P 3 m 1'
_space_group_IT_number 156
_space_group_name_Hall 'P 3 -2"'
loop_
_atom_site_label
_atom_site_type_symbol
_atom_site_fract_x
_atom_site_fract_y
_atom_site_fract_z
Ac1 Ac 0.0000 0.0000 0.0000
Ho1 Ho 0.6667 0.3333 0.5004
Pd1 Pd 0.3333 0.6667 0.3916
# E_tot, eV per atom: -5.02
# DFT formation energy, eV per atom: -0.390
# DOS at the Fermi energy, states/eV/f.u.: 2.67
# Energy relative to the lowest polymorph listed for this composition, eV per atom: 0.176

5.
# PBE Ni2Pt, relaxed
data_Ni2Pt
_cell_length_a 2.618
_cell_length_b 3.907
_cell_length_c 16.075
_cell_angle_alpha 90.00
_cell_angle_beta 90.00
_cell_angle_gamma 90.00
_space_group_name_H-M_alt 'I m m a'
_space_group_IT_number 74
_space_group_name_Hall '-I 2b 2'
loop_
_atom_site_label
_atom_site_type_symbol
_atom_site_fract_x
_atom_site_fract_y
_atom_site_fract_z
Ni1 Ni 0.000 0.250 0.040
Ni2 Ni 0.000 0.250 0.188
Pt1 Pt 0.000 0.250 0.615
# E_tot, eV per atom: -5.72
# DFT formation energy, eV per atom: 0.147
# DOS at the Fermi energy, states/eV/f.u.: 4.19

6.
# PBE Cd2Cu2B, relaxed
data_Cd2Cu2B
_cell_length_a 3.812
_cell_length_b 3.812
_cell_length_c 12.490
_cell_angle_alpha 90.00
_cell_angle_beta 90.00
_cell_angle_gamma 90.00
_space_group_name_H-M_alt 'I 4/m m m'
_space_group_IT_number 139
_space_group_name_Hall '-I 4 2'
loop_
_atom_site_label
_atom_site_type_symbol
_atom_site_fract_x
_atom_site_fract_y
_atom_site_fract_z
Cd1 Cd 0.000 0.500 0.250
Cu1 Cu 0.000 0.000 0.092
B1 B 0.000 0.000 0.500
# E_tot, eV per atom: -2.23
# DFT formation energy, eV per atom: 1.109
# DOS at the Fermi energy, states/eV/f.u.: 2.12
# Energy relative to the lowest polymorph listed for this composition, eV per atom: 0.725

| no. | magnetization (μB/f.u.) |
| --- | --- |
| 1 | 0.106 |
| 2 | 0.000 |
| 3 | 0.000 |
| 4 | 0.000 |
| 5 | 1.874 |
| 6 | 0.000 |